(1)
Entry from Alexandria via LeMat-Bulk: Na2SrCd after structural relaxation (GGA-PBE). Values from VASP.

Output
For the density of states at the Fermi level, the calculation gives 2.4 states/eV per cell. The formation enthalpy at 0 K comes out at -16 meV/atom. The size of the total moment comes out at 0.0 μB per cell.

```
&SYSTEM
  ibrav = 0, nat = 4, ntyp = 3
/
ATOMIC_SPECIES
Na 22.99 Na.upf
Sr 87.62 Sr.upf
Cd 112.41 Cd.upf
ATOMIC_POSITIONS angstrom
Na 0.000 0.000 1.605
Na 0.000 0.000 6.499
Sr 2.086 2.086 4.052
Cd 2.086 2.086 0.000
CELL_PARAMETERS angstrom
4.172 0.000 0.000
0.000 4.172 0.000
0.000 0.000 8.104
```

(2)
Entry from Alexandria via LeMat-Bulk: NaSr4Cd after structural relaxation (GGA-PBE). Values from VASP.

Output
The energy above the lowest structure with this stoichiometry comes out at 0.85 eV/f.u. For the density of states at the Fermi level, the calculation gives 12.8 states/eV per cell. The formation enthalpy at 0 K comes out at 36 meV/atom. The size of the total moment comes out at 0.0 μB per cell.

```
&SYSTEM
  ibrav = 0, nat = 12, ntyp = 3
/
ATOMIC_SPECIES
Na 22.99 Na.upf
Sr 87.62 Sr.upf
Cd 112.41 Cd.upf
ATOMIC_POSITIONS angstrom
Na 0.000 0.000 0.000
Na -0.430 4.180 4.244
Sr 1.015 1.205 3.203
Sr 0.585 2.975 7.447
Sr 2.799 5.536 2.696
Sr 2.369 7.005 6.940
Sr 5.217 1.356 1.548
Sr 4.787 2.825 5.791
Sr 7.001 5.385 1.041
Sr 6.571 7.155 5.285
Cd 3.793 0.000 4.244
Cd 4.223 4.180 0.000
CELL_PARAMETERS angstrom
8.446 0.000 0.000
0.000 8.360 0.000
-0.860 0.000 8.488
```

(3)
Entry from Alexandria via LeMat-Bulk: Na2Sr3Cd9 after structural relaxation (GGA-PBE). Values from VASP.

Output
For the density of states at the Fermi level, the calculation gives 8.1 states/eV per cell. The formation enthalpy at 0 K comes out at -246 meV/atom. The size of the total moment comes out at 0.0 μB per cell.

```
&SYSTEM
  ibrav = 0, nat = 14, ntyp = 3
/
ATOMIC_SPECIES
Na 22.99 Na.upf
Sr 87.62 Sr.upf
Cd 112.41 Cd.upf
ATOMIC_POSITIONS angstrom
Na 0.000 1.885 0.000
Na 0.000 8.168 0.000
Sr 0.000 0.000 3.290
Sr 0.000 0.000 7.679
Sr 0.000 0.000 12.068
Cd 2.570 0.000 0.000
Cd 2.570 2.132 -2.122
Cd 2.570 -1.451 5.125
Cd 2.570 2.132 2.122
Cd 2.570 1.451 5.125
Cd 0.000 3.576 2.554
Cd 0.000 2.894 5.557
Cd 0.000 6.477 2.554
Cd 0.000 2.894 9.802
CELL_PARAMETERS angstrom
-2.570 5.027 7.679
2.570 -5.027 7.679
2.570 5.027 -7.679
```

(4)
Entry from Alexandria via LeMat-Bulk: Na12Sr16Cd after structural relaxation (GGA-PBE). Values from VASP.

Output
For the density of states at the Fermi level, the calculation gives 20.2 states/eV per cell. The formation enthalpy at 0 K comes out at 15 meV/atom. The size of the total moment comes out at 0.0 μB per cell.

```
&SYSTEM
  ibrav = 0, nat = 29, ntyp = 3
/
ATOMIC_SPECIES
Na 22.99 Na.upf
Sr 87.62 Sr.upf
Cd 112.41 Cd.upf
ATOMIC_POSITIONS angstrom
Na 0.000 0.000 0.000
Na -1.915 3.605 9.868
Na 0.038 0.000 3.591
Na 2.716 7.954 8.025
Na 5.058 3.623 3.486
Na 2.696 1.859 5.197
Na 7.402 1.731 1.573
Na -1.915 -3.605 9.868
Na 2.696 -1.859 5.197
Na 7.402 -1.731 1.573
Na 5.058 -3.623 3.486
Na 2.716 -7.954 8.025
Sr 4.119 7.451 1.880
Sr -1.127 3.047 5.600
Sr 1.882 6.017 4.909
Sr 8.089 6.169 1.742
Sr -1.127 -3.047 5.600
Sr -0.607 0.000 8.084
Sr 3.744 0.000 1.750
Sr 1.897 3.780 8.430
Sr 5.906 3.087 7.795
Sr 3.425 0.000 8.473
Sr 1.882 -6.017 4.909
Sr 1.897 -3.780 8.430
Sr 6.861 0.000 5.155
Sr 4.119 -7.451 1.880
Sr 5.906 -3.087 7.795
Sr 8.089 -6.169 1.742
Cd -3.219 0.000 4.974
CELL_PARAMETERS angstrom
6.943 -9.709 0.000
6.943 9.709 0.000
-6.765 0.000 9.918
```